Entry from the Alexandria database: crystalline V4Ga2N at its relaxed geometry (PBE).

a = 3.8516 Å, b = 3.8516 Å, c = 7.0884 Å
α = 74.24°, β = 74.24°, γ = 90.00°
Last column: nearest neighbours and their distance in Å.
Element x y z (fractional)
1 V 0.8463 0.8463 0.3074  1 N 2.01
2 V 0.1537 0.1537 0.6926  1 N 2.01
3 V 0.0000 0.5000 0.0000  2 N 1.93
4 V 0.5000 0.0000 0.0000  2 N 1.93
5 N 0.0000 0.0000 0.0000  6 V 1.93-2.01
6 Ga 0.3520 0.3520 0.2960  9 V 2.60-2.73
7 Ga 0.6480 0.6480 0.7040  9 V 2.60-2.73

Space group ... I4/mmm, No. 139
Mass density ... 6.11 g/cm³
Magnetic moment ... 2.1 Bohr magnetons per cell
Energy relative to the elements, uncorrected ... -0.3530 eV per atom